a:
A relaxed structure of SiIr3W. Source: Alexandria via LeMat-Bulk, functional PBE.

Cell and atoms, written as POSCAR:
```
SiIr3W
1.0
4.759 0.000 0.000
0.000 4.759 0.000
0.000 0.000 4.759
Si Ir W
1 3 1
Cartesian
0.000 0.000 0.000 Si
0.000 2.379 2.379 Ir
2.379 0.000 2.379 Ir
2.379 2.379 0.000 Ir
2.379 2.379 2.379 W
```

As for the space group: Pm-3m (221).

b:
A relaxed structure of SiIr3W. Source: Alexandria via LeMat-Bulk, functional PBE.

Cell and atoms, written as POSCAR:
```
SiIr3W
1.0
4.392 0.000 0.000
0.000 4.392 0.000
0.000 0.000 4.392
Si Ir W
1 3 1
Cartesian
0.000 0.000 0.000 Si
0.000 0.000 2.196 Ir
0.000 2.196 0.000 Ir
2.196 0.000 0.000 Ir
2.196 2.196 2.196 W
```

As for the space group: Pm-3m (221).

How far above the most stable structure does each one sit? In kJ/mol of atoms: a 74.1; b 0.0.

a:
A relaxed structure of SiIrW3. Source: Alexandria via LeMat-Bulk, functional PBE.

Cell and atoms, written as POSCAR:
```
SiIrW3
1.0
4.423 0.000 0.000
0.000 4.423 0.000
0.000 0.000 4.423
Si Ir W
1 1 3
Cartesian
0.000 0.000 0.000 Si
2.211 2.211 2.211 Ir
0.000 0.000 2.211 W
0.000 2.211 0.000 W
2.211 0.000 0.000 W
```

As for the space group: Pm-3m (221).

b:
A relaxed structure of SiIrW3. Source: Alexandria via LeMat-Bulk, functional PBE.

Cell and atoms, written as POSCAR:
```
SiIrW3
1.0
4.751 0.000 0.000
0.000 4.751 0.000
0.000 0.000 4.751
Si Ir W
1 1 3
Cartesian
0.000 0.000 0.000 Si
2.376 2.376 2.376 Ir
0.000 2.376 2.376 W
2.376 0.000 2.376 W
2.376 2.376 0.000 W
```

As for the space group: Pm-3m (221).

How far above the most stable structure does each one sit? In kJ/mol of atoms: a 0.0; b 75.9.

a:
A relaxed structure of SiIrW. Source: Alexandria via LeMat-Bulk, functional PBE.

Cell and atoms, written as POSCAR:
```
SiIrW
1.0
9.755 0.000 0.000
0.000 4.159 0.000
-0.161 0.000 4.234
Si Ir W
4 4 4
Cartesian
2.384 0.000 0.998 Si
2.332 2.080 3.236 Si
7.261 2.080 0.998 Si
7.210 0.000 3.236 Si
1.014 0.000 3.054 Ir
3.702 2.080 1.180 Ir
5.891 2.080 3.054 Ir
8.580 0.000 1.180 Ir
0.748 2.080 1.054 W
3.969 0.000 3.179 W
5.625 0.000 1.054 W
8.846 2.080 3.179 W
```

As for the space group: C2/m (12).

b:
A relaxed structure of SiIrW. Source: Alexandria via LeMat-Bulk, functional PBE.

Cell and atoms, written as POSCAR:
```
SiIrW
1.0
5.875 0.000 0.000
0.000 5.875 0.000
0.000 0.000 5.875
Si Ir W
4 4 4
Cartesian
0.000 0.000 0.000 Si
0.000 2.937 2.937 Si
2.937 0.000 2.937 Si
2.937 2.937 0.000 Si
1.469 1.469 1.469 Ir
1.469 4.406 4.406 Ir
4.406 1.469 4.406 Ir
4.406 4.406 1.469 Ir
0.000 0.000 2.937 W
0.000 2.937 0.000 W
2.937 0.000 0.000 W
2.937 2.937 2.937 W
```

As for the space group: F-43m (216).

How far above the most stable structure does each one sit? In kJ/mol of atoms: a 0.0; b 9.0.

a:
A relaxed structure of Y3Si3Ir2. Source: Alexandria via LeMat-Bulk, functional PBE.

Cell and atoms, written as POSCAR:
```
Y3Si3Ir2
1.0
2.121 -5.230 0.000
2.121 5.230 0.000
0.000 0.000 14.018
Y Si Ir
6 6 4
Cartesian
2.121 4.365 8.582 Y
2.121 4.365 12.444 Y
2.121 1.438 10.513 Y
2.121 -1.438 3.504 Y
2.121 -4.365 1.574 Y
2.121 -4.365 5.435 Y
2.121 1.751 3.504 Si
2.121 1.277 7.509 Si
2.121 1.277 13.518 Si
2.121 -1.277 0.500 Si
2.121 -1.277 6.509 Si
2.121 -1.751 10.513 Si
2.121 3.111 1.357 Ir
2.121 3.111 5.652 Ir
2.121 -3.111 8.366 Ir
2.121 -3.111 12.661 Ir
```

As for the space group: Cmcm (63).

b:
A relaxed structure of Y3Si3Ir2. Source: Alexandria via LeMat-Bulk, functional PBE.

Cell and atoms, written as POSCAR:
```
Y3Si3Ir2
1.0
7.965 0.000 0.000
0.000 13.926 0.000
0.000 0.000 5.705
Y Si Ir
12 12 8
Cartesian
0.365 1.588 0.699 Y
0.365 5.375 0.699 Y
1.552 3.481 3.581 Y
2.431 10.444 0.729 Y
3.618 8.551 3.552 Y
3.618 12.337 3.552 Y
4.347 1.588 2.153 Y
4.347 5.375 2.153 Y
5.534 3.481 4.977 Y
6.413 10.444 2.124 Y
7.600 8.551 5.006 Y
7.600 12.337 5.006 Y
1.250 10.444 3.401 Si
1.565 0.571 3.597 Si
1.565 6.392 3.597 Si
2.418 7.534 0.744 Si
2.418 13.355 0.744 Si
2.733 3.481 0.548 Si
5.232 10.444 5.157 Si
5.547 0.571 4.961 Si
5.547 6.392 4.961 Si
6.400 7.534 2.109 Si
6.400 13.355 2.109 Si
6.715 3.481 2.305 Si
0.698 8.231 2.228 Ir
0.698 12.658 2.228 Ir
3.284 1.268 5.081 Ir
3.284 5.695 5.081 Ir
4.681 8.231 0.625 Ir
4.681 12.658 0.625 Ir
7.266 1.268 3.477 Ir
7.266 5.695 3.477 Ir
```

As for the space group: Pnma (62).

How far above the most stable structure does each one sit? In kJ/mol of atoms: a 0.0; b 0.9.

a:
A relaxed structure of Zn3SiIr. Source: Alexandria via LeMat-Bulk, functional PBE.

Cell and atoms, written as POSCAR:
```
Zn3SiIr
1.0
4.498 0.000 0.000
0.000 4.498 0.000
0.000 0.000 4.498
Zn Si Ir
3 1 1
Cartesian
0.000 0.000 2.249 Zn
0.000 2.249 0.000 Zn
2.249 0.000 0.000 Zn
0.000 0.000 0.000 Si
2.249 2.249 2.249 Ir
```

As for the space group: Pm-3m (221).

b:
A relaxed structure of Zn3SiIr. Source: Alexandria via LeMat-Bulk, functional PBE.

Cell and atoms, written as POSCAR:
```
Zn3SiIr
1.0
4.769 0.000 0.000
0.000 4.769 0.000
0.000 0.000 4.769
Zn Si Ir
3 1 1
Cartesian
0.000 0.000 2.385 Zn
0.000 2.385 0.000 Zn
2.385 0.000 0.000 Zn
2.385 2.385 2.385 Si
0.000 0.000 0.000 Ir
```

As for the space group: Pm-3m (221).

How far above the most stable structure does each one sit? In kJ/mol of atoms: a 33.1; b 0.0.

a:
A relaxed structure of Zn2SiIr2. Source: Alexandria via LeMat-Bulk, functional PBE.

Cell and atoms, written as POSCAR:
```
Zn2SiIr2
1.0
6.148 0.000 0.000
0.000 6.148 0.000
0.000 0.000 4.065
Zn Si Ir
4 2 4
Cartesian
0.940 2.134 0.000 Zn
2.134 5.208 0.000 Zn
4.014 0.940 0.000 Zn
5.208 4.014 0.000 Zn
0.000 0.000 2.033 Si
3.074 3.074 2.033 Si
0.941 4.015 2.033 Ir
2.133 0.941 2.033 Ir
4.015 5.207 2.033 Ir
5.207 2.133 2.033 Ir
```

As for the space group: P4/mbm (127).

b:
A relaxed structure of Zn2SiIr2. Source: Alexandria via LeMat-Bulk, functional PBE.

Cell and atoms, written as POSCAR:
```
Zn2SiIr2
1.0
3.728 0.000 0.000
0.000 3.728 0.000
0.000 0.000 12.001
Zn Si Ir
4 2 4
Cartesian
0.000 0.000 1.200 Zn
0.000 0.000 10.801 Zn
1.864 1.864 4.800 Zn
1.864 1.864 7.200 Zn
0.000 0.000 6.000 Si
1.864 1.864 0.000 Si
0.000 1.864 3.000 Ir
0.000 1.864 9.001 Ir
1.864 0.000 3.000 Ir
1.864 0.000 9.001 Ir
```

As for the space group: I4/mmm (139).

c:
A relaxed structure of Zn2SiIr2. Source: Alexandria via LeMat-Bulk, functional PBE.

Cell and atoms, written as POSCAR:
```
Zn2SiIr2
1.0
7.178 0.000 0.000
0.000 7.178 0.000
0.000 0.000 2.871
Zn Si Ir
4 2 4
Cartesian
0.866 2.723 0.000 Zn
2.723 6.312 0.000 Zn
4.455 0.866 0.000 Zn
6.312 4.455 0.000 Zn
0.000 0.000 0.000 Si
3.589 3.589 0.000 Si
1.279 4.868 1.435 Ir
2.310 1.279 1.435 Ir
4.868 5.899 1.435 Ir
5.899 2.310 1.435 Ir
```

As for the space group: P4/mbm (127).

How far above the most stable structure does each one sit? In kJ/mol of atoms: a 0.0; b 76.2; c 46.0.